(1)
An optimized crystal structure of RbTl3Cu2F9, computed with PBE-GGA.

abc: 6.0036 6.0036 8.5594
angles: 90.00 90.00 120.00
With the nearest neighbours (Å) after each atom.
Atoms (fractional coordinates):
1 F 0.5000 0.0000 0.0000  2 Cu 2.11
2 F 0.6436 0.8218 0.2635  1 Cu 1.93
3 F 0.1782 0.3564 0.2635  1 Cu 1.93
4 F 0.3564 0.1782 0.7365  1 Cu 1.93
5 F 0.1782 0.8218 0.2635  1 Cu 1.93
6 F 0.8218 0.1782 0.7365  1 Cu 1.93
7 F 0.0000 0.5000 0.0000  2 Cu 2.11
8 F 0.5000 0.5000 0.0000  2 Cu 2.11
9 F 0.8218 0.6436 0.7365  1 Cu 1.93
10 Tl 0.0000 0.0000 0.0000  12 F 2.92-3.00
11 Tl 0.3333 0.6667 0.7292  9 F 2.89-3.00
12 Tl 0.6667 0.3333 0.2708  9 F 2.89-3.00
13 Rb 0.0000 0.0000 0.5000  6 F 2.74
14 Cu 0.3333 0.6667 0.1407  6 F 1.93-2.11
15 Cu 0.6667 0.3333 0.8593  6 F 1.93-2.11

Summary:
Crystal system   trigonal
Total magnetization   3.04 μB per formula unit

(2)
An optimized crystal structure of Rb2TlCuF4, computed with PBE-GGA.

abc: 3.8947 6.5391 14.1125
angles: 90.00 90.00 107.33
With the nearest neighbours (Å) after each atom.
Atoms (fractional coordinates):
1 Rb 0.6351 0.2702 0.0476  6 F 2.66-2.91
2 Rb 0.3649 0.7298 0.5476  6 F 2.66-2.91
3 Rb 0.6351 0.2702 0.4524  6 F 2.66-2.91
4 Rb 0.3649 0.7298 0.9524  6 F 2.66-2.91
5 F 0.3893 0.7785 0.7500  2 Cu 2.00
6 F 0.7257 0.4515 0.6393  1 Cu 2.24
7 F 0.6107 0.2215 0.2500  2 Cu 2.00
8 F 0.0000 0.0000 0.5000  4 Rb 2.66
9 F 0.2743 0.5485 0.1393  1 Cu 2.24
10 F 0.2743 0.5485 0.3607  1 Cu 2.24
11 F 0.7257 0.4515 0.8607  1 Cu 2.24
12 F 0.0000 0.0000 0.0000  4 Rb 2.66
13 Cu 0.1456 0.2912 0.2500  2 F 2.00
14 Cu 0.8544 0.7088 0.7500  2 F 2.00
15 Tl 0.8762 0.7524 0.2500  4 F 2.80
16 Tl 0.1238 0.2476 0.7500  4 F 2.80

Summary:
Crystal system   orthorhombic
Total magnetization   0.05 μB per formula unit

(3)
An optimized crystal structure of Rb4TlCu3F12, computed with PBE-GGA.

abc: 7.4085 7.4085 7.4085
angles: 109.47 109.47 109.47
With the nearest neighbours (Å) after each atom.
Atoms (fractional coordinates):
1 Rb 0.5000 0.5000 0.5000  12 F 3.02-3.03
2 Rb 0.0000 0.0000 0.5000  12 F 3.02-3.03
3 Rb 0.5000 0.0000 0.0000  12 F 3.02-3.03
4 Rb 0.0000 0.5000 0.0000  12 F 3.02-3.03
5 F 0.7351 0.0000 0.7351  1 Cu 2.01
6 F 0.7351 0.7351 0.0000  1 Cu 2.01
7 F 0.7500 0.5000 0.2500  2 Cu 2.14
8 F 0.5000 0.7500 0.2500  2 Cu 2.14
9 F 0.2649 0.0000 0.2649  1 Cu 2.01
10 F 0.7500 0.2500 0.5000  2 Cu 2.14
11 F 0.2500 0.7500 0.5000  2 Cu 2.14
12 F 0.0000 0.7351 0.7351  1 Cu 2.01
13 F 0.2500 0.5000 0.7500  2 Cu 2.14
14 F 0.0000 0.2649 0.2649  1 Cu 2.01
15 F 0.2649 0.2649 0.0000  1 Cu 2.01
16 F 0.5000 0.2500 0.7500  2 Cu 2.14
17 Cu 0.5000 0.0000 0.5000  6 F 2.01-2.14
18 Cu 0.0000 0.5000 0.5000  6 F 2.01-2.14
19 Cu 0.5000 0.5000 0.0000  6 F 2.01-2.14
20 Tl 0.0000 0.0000 0.0000  6 F 2.27

Summary:
Crystal system   cubic
Total magnetization   2.02 μB per formula unit

(4)
An optimized crystal structure of Rb3TmCu2F9, computed with PBE-GGA.

abc: 6.0804 6.0804 7.5470
angles: 90.00 90.00 120.00
With the nearest neighbours (Å) after each atom.
Atoms (fractional coordinates):
1 Rb 0.6667 0.3333 0.3077  12 F 2.91-3.22
2 Rb 0.3333 0.6667 0.6923  12 F 2.91-3.22
3 Rb 0.0000 0.0000 0.0000  12 F 3.04-3.07
4 F 0.1656 0.3312 0.3352  1 Tm 2.14, 1 Cu 2.24
5 F 0.5000 0.0000 0.0000  2 Cu 2.10
6 F 0.6688 0.8344 0.3352  1 Tm 2.14, 1 Cu 2.24
7 F 0.0000 0.5000 0.0000  2 Cu 2.10
8 F 0.8344 0.6688 0.6648  1 Tm 2.14, 1 Cu 2.24
9 F 0.5000 0.5000 0.0000  2 Cu 2.10
10 F 0.1656 0.8344 0.3352  1 Tm 2.14, 1 Cu 2.24
11 F 0.3312 0.1656 0.6648  1 Tm 2.14, 1 Cu 2.24
12 F 0.8344 0.1656 0.6648  1 Tm 2.14, 1 Cu 2.24
13 Cu 0.3333 0.6667 0.1518  6 F 2.10-2.24
14 Cu 0.6667 0.3333 0.8482  6 F 2.10-2.24
15 Tm 0.0000 0.0000 0.5000  6 F 2.14

Summary:
Crystal system   trigonal
Total magnetization   1.00 μB per formula unit

The calculation returns the following uncorrected formation energy values, one per record and in order: -26.7; -15.7; -41.9; -40.3 eV per formula unit.